DFT (GGA-PBE) results for a relaxed structure of Sn3BrN.

abc: 5.0152 5.0152 5.0152
angles: 90.00 90.00 90.00
Atoms (fractional coordinates):
Sn (0.0000, 0.0000, 0.5000)
Sn (0.0000, 0.5000, 0.0000)
Sn (0.5000, 0.0000, 0.0000)
Br (0.5000, 0.5000, 0.5000)
N (0.0000, 0.0000, 0.0000)

Calculated values
* formation energy from raw total energies: 507.4 meV/atom
* space-group type: No. 221
* calculated density: 5.924 Mg/m³